1.
{"formula": "LiSnS2Cl", "functional": "PBE-GGA", "state": "relaxed", "de_polymorph_mev_per_atom": 0, "magmom_total_mub_per_atom": 0.000, "sg": "P4/mmm", "lattice": [[5.006, 0.000, 0.000], [0.000, 5.353, 0.000], [0.000, 0.000, 5.006]], "species": ["S", "S", "Li", "Sn", "Cl"], "frac_coords": [[0.000, 0.000, 0.500], [0.500, 0.000, 0.000], [0.500, 0.500, 0.500], [0.000, 0.000, 0.000], [0.000, 0.500, 0.000]]}

2.
{"formula": "LiSnS2Cl", "functional": "PBE-GGA", "state": "relaxed", "de_polymorph_mev_per_atom": 175, "magmom_total_mub_per_atom": 0.000, "sg": "P4/mmm", "lattice": [[4.416, 0.000, 0.000], [0.000, 4.416, 0.000], [0.000, 0.000, 5.284]], "species": ["S", "S", "Li", "Sn", "Cl"], "frac_coords": [[0.000, 0.500, 0.000], [0.500, 0.000, 0.000], [0.000, 0.000, 0.000], [0.500, 0.500, 0.500], [0.000, 0.000, 0.500]]}

3.
{"formula": "LiSnSCl2", "functional": "PBE-GGA", "state": "relaxed", "de_polymorph_mev_per_atom": 0, "magmom_total_mub_per_atom": 0.000, "sg": "P4/mmm", "lattice": [[-3.912, -3.405, -1.473], [-0.876, -1.233, 5.175], [-3.345, 3.705, 0.317]], "species": ["S", "Li", "Sn", "Cl", "Cl"], "frac_coords": [[0.000, 0.000, 0.500], [0.500, 0.500, 0.500], [0.000, 0.000, 0.000], [0.000, 0.500, 0.000], [0.500, 0.000, 0.000]]}

| no. | raw formation energy (eV/atom) |
| --- | --- |
| 1 | -0.381 |
| 2 | -0.206 |
| 3 | -0.698 |